This record from Alexandria describes an optimized crystal structure of ZnMoCl2. The functional is PBE-GGA.

The space group is F-43m (No. 216) and the conventional cell measures 6.843, 6.843 and 6.843 Å, with angles of 90.00, 90.00 and 90.00 degrees. Symmetry generates all atoms from Zn at (0.000, 0.000, 0.000), Mo at (0.250, 0.250, 0.250), Cl at (0.000, 0.000, 0.500) and Cl at (0.250, 0.250, 0.750).

The calculation puts the uncorrected formation energy at 0.5858 eV/atom. The polymorph energy (0 for the lowest one) comes out at 909.0 meV per atom.


This record from Alexandria describes an optimized crystal structure of In2SiBr. The functional is PBE-GGA.

The space group is I-4m2 (No. 119) and the conventional cell measures 4.326, 4.326 and 11.294 Å, with angles of 90.00, 90.00 and 90.00 degrees. Symmetry generates all atoms from In at (0.000, 0.000, 0.000), In at (0.000, 0.500, 0.250), Si at (0.000, 0.500, 0.750) and Br at (0.000, 0.000, 0.500).

The calculation puts the uncorrected formation energy at 0.2652 eV/atom. The polymorph energy (0 for the lowest one) comes out at 312.0 meV per atom.


This record from Alexandria describes an optimized crystal structure of Na2NdAu9. The functional is PBE-GGA.

The space group is R-3m (No. 166, hexagonal axes) and the conventional cell measures 5.5587, 5.5587 and 28.4412 Å, with angles of 90.00, 90.00 and 120.00 degrees. Symmetry generates all atoms from Na at (0.0000, 0.0000, 0.1463), Nd at (0.0000, 0.0000, 0.0000), Au at (0.0000, 0.0000, 0.3324), Au at (0.0000, 0.0000, 0.5000) and Au at (0.0014, 0.5007, 0.9152).

As for the electronic total energy: -3.446 eV per atom.


This record from Alexandria describes an optimized crystal structure of Sr2LiAl3Ag4. The functional is PBE-GGA.

The space group is P-4m2 (No. 115) and the conventional cell measures 4.692, 4.692 and 10.291 Å, with angles of 90.00, 90.00 and 90.00 degrees. Symmetry generates all atoms from Sr at (0.000, 0.500, 0.247), Li at (0.000, 0.000, 0.500), Al at (0.000, 0.500, 0.879), Al at (0.500, 0.500, 0.500), Ag at (0.000, 0.000, 0.000), Ag at (0.000, 0.500, 0.625) and Ag at (0.500, 0.500, 0.000).

As for the electronic total energy: -3.038 eV per atom.


This record from Alexandria describes an optimized crystal structure of ScGaAg2. The functional is PBE-GGA.

The space group is P4/mmm (No. 123) and the conventional cell measures 4.192, 4.192 and 4.243 Å, with angles of 90.00, 90.00 and 90.00 degrees. Symmetry generates all atoms from Sc at (0.000, 0.000, 0.000), Ga at (0.500, 0.500, 0.000) and Ag at (0.000, 0.500, 0.500).

As for the electronic total energy: -3.989 eV per atom.


This record from Alexandria describes an optimized crystal structure of Be2ZnP. The functional is PBE-GGA.

The space group is Fm-3m (No. 225) and the conventional cell measures 5.782, 5.782 and 5.782 Å, with angles of 90.00, 90.00 and 90.00 degrees. Symmetry generates all atoms from Be at (0.250, 0.250, 0.250), Zn at (0.000, 0.000, 0.000) and P at (0.000, 0.000, 0.500).

The polymorph energy (0 for the lowest one) comes out at 299.5 meV per atom.